(1)
Entry from the Alexandria database: SbRu2Pb after structural relaxation (PBE).

Results
Raw total energy: -6.315 eV/atom
Formation energy from raw total energies: 1.12 eV per formula unit
DOS at the Fermi energy: 0.71 states/eV/atom

a = 5.2789 Å, b = 5.2789 Å, c = 4.5814 Å
α = 100.29°, β = 100.29°, γ = 36.15°
With the nearest neighbours (Å) after each atom.
Sites, in units of the cell vectors:
Sb1 0.0000 0.0000 0.0000  7 Ru 2.76-2.85
Ru1 0.5130 0.5130 0.4967  3 Pb 2.75-2.85, 4 Sb 2.79-2.85, 1 Ru 3.07
Ru2 0.7255 0.7255 0.0737  3 Sb 2.76-2.84, 4 Pb 2.82-2.83, 1 Ru 3.07
Pb1 0.2494 0.2494 0.5824  7 Ru 2.75-2.85

***

(2)
Entry from the Alexandria database: Rb2WAu after structural relaxation (PBE).

Results
Polymorph energy (0 for the lowest one): 0.214 eV/atom
Raw total energy: -3.107 eV/atom
Energy of formation: 1.43 eV per atom
DOS at the Fermi energy: 0.07 states/eV/atom

a = 6.0314 Å, b = 6.0314 Å, c = 6.0314 Å
α = 60.00°, β = 60.00°, γ = 60.00°
With the nearest neighbours (Å) after each atom.
Sites, in units of the cell vectors:
Rb1 0.2500 0.2500 0.2500  4 Au 3.69, 4 W 3.69
Rb2 0.7500 0.7500 0.7500  4 W 3.69, 4 Au 3.69
W1 0.0000 0.0000 0.0000  8 Rb 3.69
Au1 0.5000 0.5000 0.5000  8 Rb 3.69

***

(3)
Entry from the Alexandria database: LiBP2Cl after structural relaxation (PBE).

Results
Polymorph energy (0 for the lowest one): 0.000 eV/atom
Raw total energy: -4.139 eV/atom
Formation energy from raw total energies: 0.56 eV per formula unit
DOS at the Fermi energy: 0.24 states/eV/atom

a = 3.8309 Å, b = 3.8309 Å, c = 8.3906 Å
α = 90.00°, β = 90.00°, γ = 90.00°
With the nearest neighbours (Å) after each atom.
Sites, in units of the cell vectors:
Li1 0.0000 0.0000 0.0000  4 Cl 2.71
B1 0.5000 0.5000 0.5000  4 P 1.92
P1 0.0000 0.5000 0.5000  2 B 1.92
P2 0.5000 0.0000 0.5000  2 B 1.92
Cl1 0.5000 0.5000 0.0000  4 Li 2.71

***

(4)
Entry from the Alexandria database: LiIn3Hg6 after structural relaxation (PBE).

Results
Polymorph energy (0 for the lowest one): 0.233 eV/atom
Raw total energy: -1.030 eV/atom
Energy of formation: 0.16 eV per atom
DOS at the Fermi energy: 0.56 states/eV/atom

a = 7.7861 Å, b = 7.7861 Å, c = 7.7861 Å
α = 121.18°, β = 121.18°, γ = 87.97°
With the nearest neighbours (Å) after each atom.
Sites, in units of the cell vectors:
Li1 0.0000 0.0000 0.0000  6 Hg 2.42-2.68
In1 0.2500 0.7500 0.5000  4 Hg 3.13
In2 0.5000 0.5000 0.0000  2 Hg 2.92
In3 0.7500 0.2500 0.5000  4 Hg 3.13
Hg1 0.0000 0.3160 0.3160  1 Li 2.42
Hg2 0.0000 0.6840 0.6840  1 Li 2.42
Hg3 0.2396 0.2396 0.0000  1 Li 2.68, 1 In 2.92
Hg4 0.3160 0.0000 0.3160  1 Li 2.42
Hg5 0.6840 0.0000 0.6840  1 Li 2.42
Hg6 0.7604 0.7604 0.0000  1 Li 2.68, 1 In 2.92

***

> raw total energy of number 1 (SbRu2Pb)?

-6.315 eV/atom